<A>
VASP calculation (GGA-PBE) on a relaxed Pm3Nd8Er3 crystal.

Summary:
For the total magnetic moment, the calculation gives 0.00 μB per formula unit.

a = 5.7442 Å, b = 9.8394 Å, c = 9.8394 Å
α = 102.18°, β = 73.05°, γ = 73.05°
Element x y z (fractional)
Nd (0.3413, 0.8810, 0.4367)
Nd (0.6587, 0.1190, 0.5633)
Nd (0.8378, 0.7658, 0.5593)
Nd (0.8378, 0.5593, 0.7658)
Nd (0.1622, 0.2342, 0.4407)
Nd (0.1622, 0.4407, 0.2342)
Nd (0.3413, 0.4367, 0.8810)
Nd (0.6587, 0.5633, 0.1190)
Pm (0.5000, 0.0000, 0.0000)
Pm (0.0000, 0.8203, 0.1797)
Pm (0.0000, 0.1797, 0.8203)
Er (0.7995, 0.2001, 0.2001)
Er (0.2005, 0.7999, 0.7999)
Er (0.5000, 0.5000, 0.5000)



<B>
VASP calculation (GGA-PBE) on a relaxed Pm3Nd8Er3 crystal.

Summary:
For the total magnetic moment, the calculation gives 0.00 μB per formula unit.

a = 5.7055 Å, b = 9.8541 Å, c = 9.8541 Å
α = 102.53°, β = 73.17°, γ = 73.17°
Element x y z (fractional)
Er (0.0000, 0.1827, 0.8173)
Er (0.5000, 0.0000, 0.0000)
Er (0.0000, 0.8173, 0.1827)
Pm (0.8068, 0.1932, 0.1932)
Pm (0.1932, 0.8068, 0.8068)
Pm (0.5000, 0.5000, 0.5000)
Nd (0.1628, 0.2331, 0.4414)
Nd (0.6572, 0.1174, 0.5682)
Nd (0.8372, 0.7669, 0.5586)
Nd (0.6572, 0.5682, 0.1174)
Nd (0.8372, 0.5586, 0.7669)
Nd (0.3428, 0.8826, 0.4318)
Nd (0.1628, 0.4414, 0.2331)
Nd (0.3428, 0.4318, 0.8826)



How do the energies compare? Relative to the most stable structure, in meV/atom: <A> 0; <B> 15.



<A>
VASP calculation (GGA-PBE) on a relaxed Pm4NdEr3 crystal.

Summary:
For the total magnetic moment, the calculation gives 0.00 μB per formula unit.

a = 6.3169 Å, b = 7.3237 Å, c = 11.5422 Å
α = 90.00°, β = 90.00°, γ = 90.00°
Element x y z (fractional)
Pm (0.9817, 0.1260, 0.2537)
Pm (0.1434, 0.8715, 0.0000)
Pm (0.9817, 0.1260, 0.7463)
Pm (0.1514, 0.8720, 0.5000)
Pm (0.6434, 0.1285, 0.5000)
Pm (0.4817, 0.8740, 0.2463)
Pm (0.6514, 0.1280, 0.0000)
Pm (0.4817, 0.8740, 0.7537)
Er (0.1475, 0.3783, 0.5000)
Er (0.6475, 0.6217, 0.0000)
Er (0.9807, 0.6219, 0.2501)
Er (0.4807, 0.3781, 0.7501)
Er (0.9807, 0.6219, 0.7499)
Er (0.4807, 0.3781, 0.2499)
Nd (0.6480, 0.6247, 0.5000)
Nd (0.1480, 0.3753, 0.0000)



<B>
VASP calculation (GGA-PBE) on a relaxed Pm4NdEr3 crystal.

Summary:
For the total magnetic moment, the calculation gives 0.00 μB per formula unit.

a = 5.7407 Å, b = 3.6119 Å, c = 13.3176 Å
α = 89.92°, β = 102.45°, γ = 90.00°
Element x y z (fractional)
Pm (0.7246, 0.5016, 0.4492)
Pm (0.6052, 0.4992, 0.2104)
Pm (0.3948, 0.5008, 0.7896)
Pm (0.2754, 0.4984, 0.5508)
Er (0.0000, 0.5000, 0.0000)
Er (0.1518, 0.0003, 0.3036)
Er (0.8482, 0.9997, 0.6964)
Nd (0.5000, 0.0000, 0.0000)



How do the energies compare? Relative to the most stable structure, in meV/atom: <A> 0; <B> 189.



<A>
VASP calculation (GGA-PBE) on a relaxed Pm3Nd6Er2 crystal.

Summary:
For the total magnetic moment, the calculation gives 0.00 μB per formula unit.

a = 3.6408 Å, b = 3.6408 Å, c = 32.7265 Å
α = 86.81°, β = 86.81°, γ = 60.00°
Element x y z (fractional)
Nd (0.6360, 0.6360, 0.0920)
Nd (0.1822, 0.1822, 0.4535)
Nd (0.3640, 0.3640, 0.9080)
Nd (0.0920, 0.0920, 0.7240)
Nd (0.8178, 0.8178, 0.5465)
Nd (0.9080, 0.9080, 0.2760)
Pm (0.2721, 0.2721, 0.1837)
Pm (0.7279, 0.7279, 0.8163)
Pm (0.0000, 0.0000, 0.0000)
Er (0.4549, 0.4549, 0.6354)
Er (0.5451, 0.5451, 0.3646)



<B>
VASP calculation (GGA-PBE) on a relaxed Pm3Nd6Er2 crystal.

Summary:
For the total magnetic moment, the calculation gives 0.00 μB per formula unit.

a = 4.8203 Å, b = 4.8203 Å, c = 17.2901 Å
α = 98.01°, β = 98.01°, γ = 90.00°
Element x y z (fractional)
Pm (0.0000, 0.0000, 0.0000)
Pm (0.8028, 0.8028, 0.6056)
Pm (0.1972, 0.1972, 0.3944)
Er (0.4548, 0.4548, 0.9096)
Er (0.5452, 0.5452, 0.0904)
Nd (0.7015, 0.7015, 0.4029)
Nd (0.2985, 0.2985, 0.5971)
Nd (0.8807, 0.3807, 0.7614)
Nd (0.3807, 0.8807, 0.7614)
Nd (0.6193, 0.1193, 0.2386)
Nd (0.1193, 0.6193, 0.2386)



How do the energies compare? Relative to the most stable structure, in meV/atom: <A> 0; <B> 263.



<A>
VASP calculation (GGA-PBE) on a relaxed PmNd7Er12 crystal.

Summary:
For the total magnetic moment, the calculation gives 0.00 μB per formula unit.

a = 8.7751 Å, b = 8.7751 Å, c = 8.7751 Å
α = 86.01°, β = 86.01°, γ = 86.01°
Element x y z (fractional)
Er (0.5035, 0.3801, 0.8664)
Er (0.2742, 0.1464, 0.7415)
Er (0.7258, 0.8536, 0.2585)
Er (0.1464, 0.7415, 0.2742)
Er (0.3801, 0.8664, 0.5035)
Er (0.1336, 0.4965, 0.6199)
Er (0.8536, 0.2585, 0.7258)
Er (0.8664, 0.5035, 0.3801)
Er (0.7415, 0.2742, 0.1464)
Er (0.4965, 0.6199, 0.1336)
Er (0.2585, 0.7258, 0.8536)
Er (0.6199, 0.1336, 0.4965)
Nd (0.9260, 0.8428, 0.6020)
Nd (0.0740, 0.1572, 0.3980)
Nd (0.8428, 0.6020, 0.9260)
Nd (0.1572, 0.3980, 0.0740)
Nd (0.3980, 0.0740, 0.1572)
Nd (0.6020, 0.9260, 0.8428)
Nd (0.5000, 0.5000, 0.5000)
Pm (0.0000, 0.0000, 0.0000)



<B>
VASP calculation (GGA-PBE) on a relaxed PmNd7Er12 crystal.

Summary:
For the total magnetic moment, the calculation gives 0.00 μB per formula unit.

a = 9.7562 Å, b = 9.7562 Å, c = 9.7562 Å
α = 109.47°, β = 109.47°, γ = 109.47°
Element x y z (fractional)
Er (0.5011, 0.7507, 0.7503)
Er (0.2493, 0.2497, 0.4989)
Er (0.9996, 0.2493, 0.7503)
Er (0.2497, 0.0004, 0.7507)
Er (0.2497, 0.4989, 0.2493)
Er (0.7507, 0.7503, 0.5011)
Er (0.2493, 0.7503, 0.9996)
Er (0.7503, 0.9996, 0.2493)
Er (0.4989, 0.2493, 0.2497)
Er (0.0004, 0.7507, 0.2497)
Er (0.7503, 0.5011, 0.7507)
Er (0.7507, 0.2497, 0.0004)
Nd (0.0000, 0.5000, 0.5000)
Nd (0.5000, 0.5000, 0.5000)
Nd (0.0000, 0.5000, 0.0000)
Nd (0.5000, 0.5000, 0.0000)
Nd (0.0000, 0.0000, 0.5000)
Nd (0.5000, 0.0000, 0.0000)
Nd (0.5000, 0.0000, 0.5000)
Pm (0.0000, 0.0000, 0.0000)



How do the energies compare? Relative to the most stable structure, in meV/atom: <A> 0; <B> 414.



<A>
VASP calculation (GGA-PBE) on a relaxed Pm2Nd12Er5 crystal.

Summary:
For the total magnetic moment, the calculation gives 0.00 μB per formula unit.

a = 11.7491 Å, b = 10.7700 Å, c = 6.2452 Å
α = 100.46°, β = 90.00°, γ = 123.06°
Element x y z (fractional)
Nd (0.1221, 0.2442, 0.9986)
Nd (0.1442, 0.7913, 0.3847)
Nd (0.5570, 0.1139, 0.2735)
Nd (0.9383, 0.3958, 0.1996)
Nd (0.6472, 0.7913, 0.3847)
Nd (0.8558, 0.2087, 0.6153)
Nd (0.3528, 0.2087, 0.6153)
Nd (0.4575, 0.3958, 0.1996)
Nd (0.8779, 0.7558, 0.0014)
Nd (0.0617, 0.6042, 0.8004)
Nd (0.4430, 0.8861, 0.7265)
Nd (0.5425, 0.6042, 0.8004)
Er (0.7855, 0.5710, 0.4503)
Er (0.3218, 0.6436, 0.1418)
Er (0.0000, 0.0000, 0.5000)
Er (0.2145, 0.4290, 0.5497)
Er (0.6782, 0.3564, 0.8582)
Pm (0.2274, 0.0000, 0.0000)
Pm (0.7726, 0.0000, 0.0000)



<B>
VASP calculation (GGA-PBE) on a relaxed Pm2Nd12Er5 crystal.

Summary:
For the total magnetic moment, the calculation gives 0.00 μB per formula unit.

a = 10.1467 Å, b = 9.4715 Å, c = 8.0797 Å
α = 88.86°, β = 90.00°, γ = 122.39°
Element x y z (fractional)
Er (0.6486, 0.2973, 0.9158)
Er (0.3514, 0.7027, 0.0842)
Er (0.7534, 0.5068, 0.4894)
Er (0.0000, 0.0000, 0.5000)
Er (0.2466, 0.4932, 0.5106)
Nd (0.9614, 0.3804, 0.2082)
Nd (0.1565, 0.3130, 0.8766)
Nd (0.5810, 0.6196, 0.7918)
Nd (0.5518, 0.1036, 0.2876)
Nd (0.8435, 0.6870, 0.1234)
Nd (0.4482, 0.8964, 0.7124)
Nd (0.0386, 0.6196, 0.7918)
Nd (0.1677, 0.7882, 0.3879)
Nd (0.3796, 0.2118, 0.6121)
Nd (0.4190, 0.3804, 0.2082)
Nd (0.8323, 0.2118, 0.6121)
Nd (0.6204, 0.7882, 0.3879)
Pm (0.7677, 0.0000, 0.0000)
Pm (0.2323, 0.0000, 0.0000)



How do the energies compare? Relative to the most stable structure, in meV/atom: <A> 0; <B> 30.



<A>
VASP calculation (GGA-PBE) on a relaxed PmNd5Er4 crystal.

Summary:
For the total magnetic moment, the calculation gives 0.00 μB per formula unit.

a = 3.5883 Å, b = 10.5525 Å, c = 9.2979 Å
α = 83.71°, β = 101.13°, γ = 90.00°
Element x y z (fractional)
Nd (0.5000, 0.5000, 0.0000)
Nd (0.8108, 0.5977, 0.6215)
Nd (0.1892, 0.4023, 0.3785)
Nd (0.8579, 0.2298, 0.7157)
Nd (0.1421, 0.7702, 0.2843)
Er (0.9539, 0.7619, 0.9078)
Er (0.6829, 0.0874, 0.3657)
Er (0.3171, 0.9126, 0.6343)
Er (0.0461, 0.2381, 0.0922)
Pm (0.5000, 0.0000, 0.0000)



<B>
VASP calculation (GGA-PBE) on a relaxed PmNd5Er4 crystal.

Summary:
For the total magnetic moment, the calculation gives 0.00 μB per formula unit.

a = 3.6137 Å, b = 10.2055 Å, c = 9.5204 Å
α = 106.03°, β = 100.91°, γ = 89.98°
Element x y z (fractional)
Nd (0.8988, 0.1961, 0.7981)
Nd (0.2992, 0.3995, 0.5993)
Nd (0.1012, 0.8039, 0.2019)
Nd (0.5000, 0.5000, 0.0000)
Nd (0.7008, 0.6005, 0.4007)
Er (0.8985, 0.7028, 0.7977)
Er (0.6999, 0.0999, 0.3995)
Er (0.1015, 0.2972, 0.2023)
Er (0.3001, 0.9001, 0.6005)
Pm (0.5000, 0.0000, 0.0000)



How do the energies compare? Relative to the most stable structure, in meV/atom: <A> 132; <B> 0.